Material: MnVRh3
Method: DFT, PBE-GGA
State: relaxed

a b c (Å): 4.006 13.025 5.337
angles (deg): 90.00 90.00 90.00
Space group Cmcm (No. 63)
Unique sites:
Mn 0.000 0.187 0.250
V 0.000 0.014 0.750
Rh 0.000 0.204 0.750
Rh 0.000 0.398 0.001

- density (g/cm³) = 9.89
- crystal system = orthorhombic
- excess energy over the best structure of this formula in the dataset (meV/atom) = 65.5
- spin magnetization (μB/f.u.) = 3.1
- V (A^3/atom) = 13.92
- energy of formation from the pure elements (eV per atom) = -0.186
- DFT total energy (eV per cell) = -165.1

***

Material: Sm2S3O12
Method: DFT, PBE-GGA
State: relaxed

a b c (Å): 21.521 6.686 6.933
angles (deg): 90.00 107.01 90.00
Space group C2/c (No. 15)
Unique sites:
Sm 0.132 0.145 0.134
S 0.000 0.164 0.250
S 0.183 0.318 0.681
O 0.025 0.285 0.111
O 0.056 0.032 0.360
O 0.147 0.493 0.131
O 0.153 0.188 0.807
O 0.176 0.196 0.495
O 0.248 0.147 0.211

- density (g/cm³) = 4.10
- ΔE_f (raw) (eV/atom) = -2.128
- crystal system = monoclinic
- spin magnetization (μB/f.u.) = 0.0
- V (A^3/atom) = 14.03
- DFT total energy (eV per cell) = -470.0

***

Material: ZnHgN2
Method: DFT, PBE-GGA
State: relaxed

a b c (Å): 3.2034 3.2034 18.6108
angles (deg): 90.00 90.00 120.00
Space group R-3m (No. 166, hexagonal axes)
Unique sites:
Zn 0.0000 0.0000 0.0000
Hg 0.0000 0.0000 0.5000
N 0.0000 0.0000 0.3883

- density (g/cm³) = 8.86
- ΔE_f (raw) (eV/atom) = 1.087
- crystal system = trigonal
- excess energy over the best structure of this formula in the dataset (meV/atom) = 0.0
- spin magnetization (μB/f.u.) = 0.0
- V (A^3/atom) = 13.78
- DFT total energy (eV per cell) = -41.6